w | A plane-wave DFT calculation with PBE was carried out for an optimized crystal structure of SbAs2BrN.

The structure in POSCAR format:
```
SbAs2BrN
1.0
-4.647 -2.761 -0.592
1.629 -3.553 3.782
-2.461 3.258 4.121
Sb As Br N
1 2 1 1
direct
0.000 0.000 0.000 Sb
0.000 0.500 0.000 As
0.500 0.000 0.000 As
0.000 0.000 0.500 Br
0.500 0.500 0.500 N
```

As for the total magnetic moment: 4.9 μB per cell. The density of states at the Fermi level is 2.90 states/eV/f.u.

x | A plane-wave DFT calculation with PBE was carried out for an optimized crystal structure of SbAs2BrN.

The structure in POSCAR format:
```
SbAs2BrN
1.0
-3.748 -2.320 -1.339
1.580 -3.775 2.116
-2.094 1.222 3.744
Sb As Br N
1 2 1 1
direct
0.500 0.500 0.500 Sb
0.000 0.500 0.000 As
0.500 0.000 0.000 As
0.000 0.000 0.500 Br
0.000 0.000 0.000 N
```

As for the total magnetic moment: 0.0 μB per cell. The density of states at the Fermi level is 2.33 states/eV/f.u.

The structure with the greatest stability is x.

w | A plane-wave DFT calculation with PBE was carried out for an optimized crystal structure of SbAsBr2N.

The structure in POSCAR format:
```
SbAsBr2N
1.0
4.520 0.000 0.000
0.000 4.520 0.000
0.000 0.000 4.987
Sb As Br N
1 1 2 1
direct
0.500 0.500 0.500 Sb
0.000 0.000 0.500 As
0.000 0.500 0.000 Br
0.500 0.000 0.000 Br
0.000 0.000 0.000 N
```

As for the total magnetic moment: 0.0 μB per cell. The density of states at the Fermi level is 0.24 states/eV/f.u.

x | A plane-wave DFT calculation with PBE was carried out for an optimized crystal structure of SbAsBr2N.

The structure in POSCAR format:
```
SbAsBr2N
1.0
5.649 0.000 0.000
0.000 5.649 0.000
0.000 0.000 5.583
Sb As Br N
1 1 2 1
direct
0.000 0.000 0.000 Sb
0.000 0.000 0.500 As
0.000 0.500 0.000 Br
0.500 0.000 0.000 Br
0.500 0.500 0.500 N
```

As for the total magnetic moment: 1.3 μB per cell. The density of states at the Fermi level is 0.66 states/eV/f.u.

The structure with the greatest stability is w.

w | A plane-wave DFT calculation with PBE was carried out for an optimized crystal structure of ScAs2BrN.

The structure in POSCAR format:
```
ScAs2BrN
1.0
4.314 0.000 0.000
0.000 4.314 0.000
0.000 0.000 4.784
Sc As Br N
1 2 1 1
direct
0.500 0.500 0.500 Sc
0.000 0.500 0.000 As
0.500 0.000 0.000 As
0.000 0.000 0.500 Br
0.000 0.000 0.000 N
```

As for the total magnetic moment: 0.0 μB per cell. The density of states at the Fermi level is 2.76 states/eV/f.u.

x | A plane-wave DFT calculation with PBE was carried out for an optimized crystal structure of ScAs2BrN.

The structure in POSCAR format:
```
ScAs2BrN
1.0
5.258 0.000 0.000
0.000 5.258 0.000
0.000 0.000 5.290
Sc As Br N
1 2 1 1
direct
0.000 0.000 0.000 Sc
0.000 0.500 0.000 As
0.500 0.000 0.000 As
0.000 0.000 0.500 Br
0.500 0.500 0.500 N
```

As for the total magnetic moment: 1.0 μB per cell. The density of states at the Fermi level is 2.34 states/eV/f.u.

The structure with the greatest stability is w.

w | A plane-wave DFT calculation with PBE was carried out for an optimized crystal structure of AsSe2BrN.

The structure in POSCAR format:
```
AsSe2BrN
1.0
-3.299 4.116 -0.511
-3.241 -2.966 -2.964
-1.825 -1.081 3.078
As Se Br N
1 2 1 1
direct
0.500 0.500 0.500 As
0.000 0.500 0.000 Se
0.500 0.000 0.000 Se
0.000 0.000 0.000 Br
0.000 0.000 0.500 N
```

As for the total magnetic moment: 0.0 μB per cell. The density of states at the Fermi level is 4.12 states/eV/f.u.

x | A plane-wave DFT calculation with PBE was carried out for an optimized crystal structure of AsSe2BrN.

The structure in POSCAR format:
```
AsSe2BrN
1.0
-4.225 2.753 1.767
-2.900 -1.816 -4.104
-1.027 -2.852 1.988
As Se Br N
1 2 1 1
direct
0.000 0.000 0.000 As
0.000 0.500 0.000 Se
0.500 0.000 0.000 Se
0.500 0.500 0.500 Br
0.000 0.000 0.500 N
```

As for the total magnetic moment: 0.0 μB per cell. The density of states at the Fermi level is 5.70 states/eV/f.u.

y | A plane-wave DFT calculation with PBE was carried out for an optimized crystal structure of AsSe2BrN.

The structure in POSCAR format:
```
AsSe2BrN
1.0
4.421 0.000 0.000
0.000 4.421 0.000
0.000 0.000 4.772
As Se Br N
1 2 1 1
direct
0.000 0.000 0.500 As
0.000 0.500 0.000 Se
0.500 0.000 0.000 Se
0.500 0.500 0.500 Br
0.000 0.000 0.000 N
```

As for the total magnetic moment: 0.0 μB per cell. The density of states at the Fermi level is 4.71 states/eV/f.u.

The structure with the greatest stability is x.